First-principles (GGA-PBE) data for a relaxed structure of Sr3Pm3AgS8, as listed in Alexandria via LeMat-Bulk.

Summary:
As for the formation energy from raw total energies: -1.7982 eV per atom. As for the energy: -5.4760 eV/atom.

a = 8.321 Å, b = 8.321 Å, c = 8.321 Å
α = 59.11°, β = 59.11°, γ = 59.11°
Sites, in units of the cell vectors:
Sr: 0.000 0.500 0.500
Sr: 0.500 0.000 0.500
Sr: 0.500 0.500 0.000
Pm: 0.000 0.000 0.500
Pm: 0.000 0.500 0.000
Pm: 0.500 0.000 0.000
Ag: 0.500 0.500 0.500
S: 0.237 0.747 0.747
S: 0.245 0.245 0.245
S: 0.253 0.253 0.763
S: 0.253 0.763 0.253
S: 0.747 0.237 0.747
S: 0.747 0.747 0.237
S: 0.755 0.755 0.755
S: 0.763 0.253 0.253

First-principles (GGA-PBE) data for a relaxed structure of SrPmAgS3, as listed in Alexandria via LeMat-Bulk.

Summary:
As for the formation energy from raw total energies: -1.5848 eV per atom. As for the energy: -5.1958 eV/atom.

a = 8.384 Å, b = 4.090 Å, c = 8.980 Å
α = 90.00°, β = 103.07°, γ = 90.00°
Sites, in units of the cell vectors:
Sr: 0.190 0.250 0.232
Sr: 0.810 0.750 0.768
Pm: 0.329 0.750 0.830
Pm: 0.671 0.250 0.170
Ag: 0.095 0.250 0.587
Ag: 0.905 0.750 0.413
S: 0.103 0.250 0.871
S: 0.245 0.750 0.505
S: 0.433 0.750 0.156
S: 0.567 0.250 0.844
S: 0.755 0.250 0.495
S: 0.897 0.750 0.129

First-principles (GGA-PBE) data for a relaxed structure of TbPmAg2S4, as listed in Alexandria via LeMat-Bulk.

Summary:
As for the formation energy from raw total energies: -1.2665 eV per atom. For the density of states at the Fermi level, the calculation gives 0.00 states/eV per atom. As for the energy: -5.2156 eV/atom.

a = 6.510 Å, b = 4.101 Å, c = 7.084 Å
α = 90.00°, β = 110.50°, γ = 90.00°
Sites, in units of the cell vectors:
Tb: 0.000 0.000 0.000
Pm: 0.000 0.500 0.500
Ag: 0.500 0.000 0.500
Ag: 0.500 0.500 0.000
S: 0.244 0.500 0.241
S: 0.246 0.000 0.751
S: 0.754 0.000 0.249
S: 0.756 0.500 0.759

First-principles (GGA-PBE) data for a relaxed structure of Tb2PmAg3S6, as listed in Alexandria via LeMat-Bulk.

Summary:
As for the formation energy from raw total energies: -1.2957 eV per atom. For the density of states at the Fermi level, the calculation gives 0.00 states/eV per atom. As for the energy: -5.2399 eV/atom.

a = 8.035 Å, b = 8.035 Å, c = 9.550 Å
α = 104.65°, β = 104.65°, γ = 29.60°
Sites, in units of the cell vectors:
Tb: 0.165 0.165 0.337
Tb: 0.835 0.835 0.663
Pm: 0.500 0.500 0.000
Ag: 0.173 0.173 0.944
Ag: 0.500 0.500 0.500
Ag: 0.827 0.827 0.056
S: 0.012 0.012 0.802
S: 0.314 0.314 0.856
S: 0.343 0.343 0.478
S: 0.657 0.657 0.522
S: 0.686 0.686 0.144
S: 0.988 0.988 0.198

First-principles (GGA-PBE) data for a relaxed structure of Pm2AgTeS3, as listed in Alexandria via LeMat-Bulk.

Summary:
As for the formation energy from raw total energies: -1.2440 eV per atom. For the density of states at the Fermi level, the calculation gives 0.63 states/eV per atom. As for the energy: -5.2264 eV/atom.

a = 8.323 Å, b = 8.323 Å, c = 8.323 Å
α = 59.54°, β = 59.54°, γ = 59.54°
Sites, in units of the cell vectors:
Pm: 0.000 0.000 0.000
Pm: 0.000 0.000 0.500
Pm: 0.000 0.500 0.000
Pm: 0.500 0.000 0.000
Ag: 0.404 0.404 0.404
Ag: 0.596 0.596 0.596
Te: 0.266 0.266 0.266
Te: 0.734 0.734 0.734
S: 0.219 0.757 0.757
S: 0.243 0.243 0.781
S: 0.243 0.781 0.243
S: 0.757 0.219 0.757
S: 0.757 0.757 0.219
S: 0.781 0.243 0.243

First-principles (GGA-PBE) data for a relaxed structure of Pm3TiAg3S8, as listed in Alexandria via LeMat-Bulk.

Summary:
As for the formation energy from raw total energies: -1.2174 eV per atom. As for the energy: -5.4654 eV/atom.

a = 7.773 Å, b = 7.773 Å, c = 7.806 Å
α = 117.98°, β = 117.98°, γ = 62.18°
Sites, in units of the cell vectors:
Pm: 0.000 0.000 0.000
Pm: 0.000 0.500 0.500
Pm: 0.500 0.000 0.500
Ti: 0.500 0.500 0.000
Ag: 0.000 0.500 0.000
Ag: 0.500 0.000 0.000
Ag: 0.500 0.500 0.500
S: 0.251 0.251 0.251
S: 0.276 0.276 0.776
S: 0.276 0.722 0.223
S: 0.278 0.724 0.777
S: 0.722 0.276 0.223
S: 0.724 0.278 0.777
S: 0.724 0.724 0.224
S: 0.749 0.749 0.749

First-principles (GGA-PBE) data for a relaxed structure of Pm2TlAgS4, as listed in Alexandria via LeMat-Bulk.

Summary:
As for the formation energy from raw total energies: -1.3798 eV per atom. As for the energy: -5.2834 eV/atom.

a = 7.184 Å, b = 7.184 Å, c = 14.521 Å
α = 90.00°, β = 90.00°, γ = 146.57°
Sites, in units of the cell vectors:
Pm: 0.132 0.868 0.565
Pm: 0.132 0.868 0.935
Pm: 0.868 0.132 0.065
Pm: 0.868 0.132 0.435
Tl: 0.387 0.613 0.750
Tl: 0.613 0.387 0.250
Ag: 0.333 0.667 0.250
Ag: 0.667 0.333 0.750
S: 0.058 0.942 0.750
S: 0.236 0.764 0.103
S: 0.236 0.764 0.397
S: 0.500 0.500 0.000
S: 0.500 0.500 0.500
S: 0.764 0.236 0.603
S: 0.764 0.236 0.897
S: 0.942 0.058 0.250

First-principles (GGA-PBE) data for a relaxed structure of PmTlAgS2, as listed in Alexandria via LeMat-Bulk.

Summary:
As for the formation energy from raw total energies: -0.8013 eV per atom. For the density of states at the Fermi level, the calculation gives 0.31 states/eV per atom. As for the energy: -4.4459 eV/atom.

a = 6.177 Å, b = 6.007 Å, c = 7.826 Å
α = 90.00°, β = 104.51°, γ = 90.00°
Sites, in units of the cell vectors:
Pm: 0.000 0.010 0.250
Pm: 0.000 0.990 0.750
Tl: 0.500 0.325 0.250
Tl: 0.500 0.675 0.750
Ag: 0.000 0.500 0.000
Ag: 0.000 0.500 0.500
S: 0.258 0.190 0.557
S: 0.258 0.810 0.057
S: 0.742 0.190 0.943
S: 0.742 0.810 0.443

Look up the formation energy from raw total energies of the fourth one.
-1.2957 eV per atom

The lowest energy belongs to which entry?
Sr3Pm3AgS8

formation energy from raw total energies of number 6 (Pm3TiAg3S8)?
-1.2174 eV per atom

The lowest formation energy from raw total energies belongs to which entry?
Sr3Pm3AgS8